(1)
Below is an optimized crystal structure of Sr2CoSb, with properties calculated at the PBE level.

a = 5.304 Å, b = 5.304 Å, c = 4.243 Å
α = 90.00°, β = 90.00°, γ = 90.00°
Space group P4/mmm (No. 123)
One atom of each set of equivalent atoms:
Sr 0.000 0.500 0.000 (multiplicity 2)
Co 0.000 0.000 0.500 (multiplicity 1)
Sb 0.500 0.500 0.500 (multiplicity 1)

Summary:
density of states at the Fermi level	2.08	states/eV/f.u.
crystal system	tetragonal
energy relative to the elements, uncorrected	-126	meV per atom
raw total energy	-3.7745	eV/atom



(2)
Below is an optimized crystal structure of TaTlCl2, with properties calculated at the PBE level.

a = 5.365 Å, b = 5.365 Å, c = 3.219 Å
α = 90.00°, β = 90.00°, γ = 90.00°
Space group P4/mmm (No. 123)
One atom of each set of equivalent atoms:
Ta 0.000 0.000 0.000 (multiplicity 1)
Tl 0.500 0.500 0.000 (multiplicity 1)
Cl 0.000 0.500 0.500 (multiplicity 2)

Summary:
density of states at the Fermi level	1.55	states/eV/f.u.
crystal system	tetragonal
energy relative to the elements, uncorrected	384	meV per atom
energy above the lowest structure with this stoichiometry	0.8946	eV per atom
raw total energy	-4.0945	eV/atom



(3)
Below is an optimized crystal structure of Tb6SmIn2, with properties calculated at the PBE level.

a = 5.633 Å, b = 5.633 Å, c = 21.379 Å
α = 90.00°, β = 90.00°, γ = 90.00°
Space group I-42m (No. 121)
One atom of each set of equivalent atoms:
Tb 0.000 0.500 0.250 (multiplicity 4)
Tb 0.195 0.195 0.067 (multiplicity 8)
Sm 0.000 0.000 0.500 (multiplicity 2)
In 0.000 0.000 0.189 (multiplicity 4)

Summary:
DFT formation energy	0.53	eV/atom
density of states at the Fermi level	11.31	states/eV/f.u.
crystal system	tetragonal
energy above the lowest structure with this stoichiometry	0.7257	eV per atom
raw total energy	-3.6895	eV/atom



(4)
Below is an optimized crystal structure of RbSmPbF6, with properties calculated at the PBE level.

a = 8.009 Å, b = 8.277 Å, c = 11.651 Å
α = 90.00°, β = 90.00°, γ = 90.00°
Space group Imma (No. 74)
One atom of each set of equivalent atoms:
Rb 0.000 0.250 0.142 (multiplicity 4)
Sm 0.000 0.000 0.500 (multiplicity 4)
Pb 0.250 0.250 0.750 (multiplicity 4)
F 0.000 0.250 0.578 (multiplicity 4)
F 0.000 0.250 0.865 (multiplicity 4)
F 0.198 0.027 0.366 (multiplicity 16)

Summary:
density of states at the Fermi level	0.00	states/eV/f.u.
crystal system	orthorhombic
energy relative to the elements, uncorrected	-3143	meV per atom
raw total energy	-5.4345	eV/atom



(5)
Below is an optimized crystal structure of PmTm3Rh8, with properties calculated at the PBE level.

a = 5.3266 Å, b = 5.3266 Å, c = 8.7141 Å
α = 90.00°, β = 90.00°, γ = 120.00°
Space group P3m1 (No. 156)
One atom of each set of equivalent atoms:
Pm 0.0000 0.0000 0.0000 (multiplicity 1)
Tm 0.0000 0.0000 0.3680 (multiplicity 1)
Tm 0.6667 0.3333 0.4978 (multiplicity 1)
Tm 0.6667 0.3333 0.8635 (multiplicity 1)
Rh 0.1644 0.3288 0.6799 (multiplicity 3)
Rh 0.3333 0.6667 0.4324 (multiplicity 1)
Rh 0.3333 0.6667 0.9317 (multiplicity 1)
Rh 0.5024 0.0049 0.1859 (multiplicity 3)

Summary:
DFT formation energy	-0.72	eV/atom
density of states at the Fermi level	7.39	states/eV/f.u.
crystal system	trigonal
raw total energy	-7.1327	eV/atom



(6)
Below is an optimized crystal structure of CrAu3N, with properties calculated at the PBE level.

a = 4.781 Å, b = 4.781 Å, c = 4.781 Å
α = 90.00°, β = 90.00°, γ = 90.00°
Space group Pm-3m (No. 221)
One atom of each set of equivalent atoms:
Cr 0.000 0.000 0.000 (multiplicity 1)
Au 0.000 0.000 0.500 (multiplicity 3)
N 0.500 0.500 0.500 (multiplicity 1)

Summary:
density of states at the Fermi level	11.43	states/eV/f.u.
crystal system	cubic
energy relative to the elements, uncorrected	2319	meV per atom
energy above the lowest structure with this stoichiometry	1.4625	eV per atom
raw total energy	-3.2372	eV/atom



(7)
Below is an optimized crystal structure of CeCd12, with properties calculated at the PBE level.

a = 9.981 Å, b = 9.981 Å, c = 5.994 Å
α = 90.00°, β = 90.00°, γ = 90.00°
Space group I4/mmm (No. 139)
One atom of each set of equivalent atoms:
Ce 0.000 0.000 0.000 (multiplicity 2)
Cd 0.000 0.213 0.500 (multiplicity 8)
Cd 0.000 0.351 0.000 (multiplicity 8)
Cd 0.250 0.250 0.250 (multiplicity 8)

Summary:
DFT formation energy	-0.09	eV/atom
density of states at the Fermi level	10.27	states/eV/f.u.
crystal system	tetragonal
raw total energy	-1.3879	eV/atom



(8)
Below is an optimized crystal structure of ScCoSb2, with properties calculated at the PBE level.

a = 4.059 Å, b = 5.718 Å, c = 7.202 Å
α = 90.00°, β = 90.00°, γ = 90.00°
Space group Immm (No. 71)
One atom of each set of equivalent atoms:
Sc 0.000 0.000 0.000 (multiplicity 2)
Co 0.000 0.000 0.500 (multiplicity 2)
Sb 0.000 0.500 0.214 (multiplicity 4)

Summary:
density of states at the Fermi level	2.68	states/eV/f.u.
crystal system	orthorhombic
energy relative to the elements, uncorrected	-161	meV per atom
raw total energy	-5.5820	eV/atom



Question: The highest raw total energy belongs to which entry?
Answer: CeCd12



Question: Which of these has the highest density of states at the Fermi level?
Answer: CrAu3N



Question: The lowest raw total energy belongs to which entry?
Answer: PmTm3Rh8